CrSF3 | Alexandria | PBE with a Hubbard U | optimized geometry; volume = 15.7 Å³/atom; total energy = -4.0650 eV/atom; total magnetic moment = 4.901 μB per cell
1.0
4.278 0.000 0.000
0.000 4.278 0.000
0.000 0.000 4.278
Cr S F
1 1 3
Direct
0.000 0.000 0.000
0.500 0.500 0.500
0.000 0.500 0.500
0.500 0.000 0.500
0.500 0.500 0.000